No. 1
## Rb2ZrU2Se6 (GGA-PBE)

Data for an optimized crystal structure of Rb2ZrU2Se6.

Calculated volume, Å³ per atom: 32.30
DOS at the Fermi energy, states/eV/cell: 20.79
Formation energy from raw total energies, eV per atom: -1.2854
Electronic total energy, eV per atom: -6.192
M_tot, Bohr magnetons per cell: 12.03

a b c (Å): 7.052 12.139 8.633
angles (deg): 90.00 105.93 90.00
Space group C2/m (No. 12)
Inequivalent atoms, fractional coordinates:
Rb (0.000, 0.168, 0.000) [4 per cell]
Zr (0.000, 0.000, 0.500) [2 per cell]
U (0.000, 0.333, 0.500) [4 per cell]
Se (0.227, 0.160, 0.694) [8 per cell]
Se (0.243, 0.500, 0.693) [4 per cell]

No. 2
## RbVSe4 (GGA-PBE)

Data for an optimized crystal structure of RbVSe4.

Calculated volume, Å³ per atom: 29.04
DOS at the Fermi energy, states/eV/cell: 16.26
Formation energy from raw total energies, eV per atom: -0.5797
Electronic total energy, eV per atom: -4.584
M_tot, Bohr magnetons per cell: 0.00

a b c (Å): 15.548 8.032 5.589
angles (deg): 90.00 92.96 90.00
Space group C2/m (No. 12)
Inequivalent atoms, fractional coordinates:
Rb (0.180, 0.000, 0.199) [4 per cell]
V (0.017, 0.500, 0.278) [4 per cell]
Se (0.000, 0.253, 0.000) [4 per cell]
Se (0.100, 0.307, 0.608) [8 per cell]
Se (0.179, 0.500, 0.283) [4 per cell]

No. 3
## Rb2VSe4 (GGA-PBE)

Data for an optimized crystal structure of Rb2VSe4.

Calculated volume, Å³ per atom: 30.77
DOS at the Fermi energy, states/eV/cell: 13.47
Formation energy from raw total energies, eV per atom: -0.6497
Electronic total energy, eV per atom: -4.220
M_tot, Bohr magnetons per cell: 1.72

a b c (Å): 4.996 4.996 17.257
angles (deg): 90.00 90.00 90.00
Space group I4/mmm (No. 139)
Inequivalent atoms, fractional coordinates:
Rb (0.000, 0.000, 0.150) [4 per cell]
V (0.000, 0.000, 0.500) [2 per cell]
Se (0.000, 0.000, 0.358) [4 per cell]
Se (0.000, 0.500, 0.000) [4 per cell]

No. 4
## Rb5VSe4 (GGA-PBE)

Data for an optimized crystal structure of Rb5VSe4.

Calculated volume, Å³ per atom: 41.90
Formation energy from raw total energies, eV per atom: -0.9608
Electronic total energy, eV per atom: -3.750
M_tot, Bohr magnetons per cell: 4.00

a b c (Å): 9.918 10.445 8.090
angles (deg): 90.00 90.00 90.00
Space group Pmmn (No. 59, origin choice 2)
Inequivalent atoms, fractional coordinates:
Rb (0.012, 0.058, 0.236) [8 per cell]
Rb (0.250, 0.750, 0.357) [2 per cell]
V (0.250, 0.250, 0.713) [2 per cell]
Se (0.042, 0.250, 0.884) [4 per cell]
Se (0.250, 0.053, 0.541) [4 per cell]

No. 5
## RbV2Se4 (GGA-PBE)

Data for an optimized crystal structure of RbV2Se4.

Calculated volume, Å³ per atom: 23.44
DOS at the Fermi energy, states/eV/cell: 19.97
Formation energy from raw total energies, eV per atom: -0.6878
Electronic total energy, eV per atom: -5.422
M_tot, Bohr magnetons per cell: 11.98

a b c (Å): 3.841 12.989 13.154
angles (deg): 90.00 90.00 90.00
Space group Cmcm (No. 63)
Inequivalent atoms, fractional coordinates:
Rb (0.000, 0.108, 0.250) [4 per cell]
V (0.000, 0.368, 0.070) [8 per cell]
Se (0.000, 0.000, 0.000) [4 per cell]
Se (0.000, 0.257, 0.594) [8 per cell]
Se (0.000, 0.402, 0.250) [4 per cell]

No. 6
## Rb3VSe3 (GGA-PBE)

Data for an optimized crystal structure of Rb3VSe3.

Calculated volume, Å³ per atom: 35.72
DOS at the Fermi energy, states/eV/cell: 9.97
Formation energy from raw total energies, eV per atom: -0.9980
Electronic total energy, eV per atom: -4.209
M_tot, Bohr magnetons per cell: 4.01

a b c (Å): 8.411 13.790 10.988
angles (deg): 90.00 128.29 90.00
Space group P2_1/c (No. 14)
Inequivalent atoms, fractional coordinates:
Rb (0.099, 0.145, 0.475) [4 per cell]
Rb (0.146, 0.062, 0.895) [4 per cell]
Rb (0.377, 0.698, 0.593) [4 per cell]
V (0.444, 0.046, 0.362) [4 per cell]
Se (0.156, 0.153, 0.196) [4 per cell]
Se (0.353, 0.617, 0.879) [4 per cell]
Se (0.377, 0.537, 0.243) [4 per cell]

No. 7
## Rb2VSe4 (GGA-PBE)

Data for an optimized crystal structure of Rb2VSe4.

Calculated volume, Å³ per atom: 37.83
DOS at the Fermi energy, states/eV/cell: 3.65
Formation energy from raw total energies, eV per atom: -0.8617
Electronic total energy, eV per atom: -4.432
M_tot, Bohr magnetons per cell: 0.00

a b c (Å): 7.837 6.123 11.284
angles (deg): 90.00 102.02 90.00
Space group P2_1/m (No. 11)
Inequivalent atoms, fractional coordinates:
Rb (0.220, 0.250, 0.062) [2 per cell]
Rb (0.259, 0.250, 0.528) [2 per cell]
V (0.225, 0.750, 0.781) [2 per cell]
Se (0.011, 0.020, 0.731) [4 per cell]
Se (0.347, 0.750, 0.979) [2 per cell]
Se (0.429, 0.750, 0.664) [2 per cell]

No. 8
## RbVSe2 (GGA-PBE)

Data for an optimized crystal structure of RbVSe2.

Calculated volume, Å³ per atom: 23.15
DOS at the Fermi energy, states/eV/cell: 3.52
Formation energy from raw total energies, eV per atom: -0.1229
Electronic total energy, eV per atom: -4.387
M_tot, Bohr magnetons per cell: 8.12

a b c (Å): 7.182 7.182 7.182
angles (deg): 90.00 90.00 90.00
Space group Fm-3m (No. 225)
Inequivalent atoms, fractional coordinates:
Rb (0.000, 0.000, 0.000) [4 per cell]
V (0.000, 0.000, 0.500) [4 per cell]
Se (0.250, 0.250, 0.250) [8 per cell]

No. 9
## RbVSe2 (GGA-PBE)

Data for an optimized crystal structure of RbVSe2.

Calculated volume, Å³ per atom: 21.39
DOS at the Fermi energy, states/eV/cell: 1.64
Formation energy from raw total energies, eV per atom: -0.5210
Electronic total energy, eV per atom: -4.785
M_tot, Bohr magnetons per cell: 0.00

a b c (Å): 3.247 3.247 8.118
angles (deg): 90.00 90.00 90.00
Space group P4/mmm (No. 123)
Inequivalent atoms, fractional coordinates:
Rb (0.000, 0.000, 0.000) [1 per cell]
V (0.000, 0.000, 0.500) [1 per cell]
Se (0.500, 0.500, 0.319) [2 per cell]

No. 10
## RbVSe3 (GGA-PBE)

Data for an optimized crystal structure of RbVSe3.

Calculated volume, Å³ per atom: 33.72
Formation energy from raw total energies, eV per atom: -0.7635
Electronic total energy, eV per atom: -4.871
M_tot, Bohr magnetons per cell: 0.00

a b c (Å): 18.962 4.709 7.785
angles (deg): 90.00 104.05 90.00
Space group C2/m (No. 12)
Inequivalent atoms, fractional coordinates:
Rb (0.096, 0.000, 0.248) [4 per cell]
V (0.175, 0.500, 0.828) [4 per cell]
Se (0.057, 0.500, 0.830) [4 per cell]
Se (0.192, 0.500, 0.555) [4 per cell]
Se (0.203, 0.000, 0.942) [4 per cell]

No. 11
## RbVSe2 (GGA-PBE)

Data for an optimized crystal structure of RbVSe2.

Calculated volume, Å³ per atom: 32.30
DOS at the Fermi energy, states/eV/cell: 7.50
Formation energy from raw total energies, eV per atom: -0.8312
Electronic total energy, eV per atom: -5.095
M_tot, Bohr magnetons per cell: 8.00

a b c (Å): 7.454 7.454 9.301
angles (deg): 90.00 90.00 90.00
Space group I-42d (No. 122)
Inequivalent atoms, fractional coordinates:
Rb (0.000, 0.000, 0.000) [4 per cell]
V (0.000, 0.000, 0.500) [4 per cell]
Se (0.136, 0.250, 0.625) [8 per cell]

No. 12
## RbVSe2 (GGA-PBE)

Data for an optimized crystal structure of RbVSe2.

Calculated volume, Å³ per atom: 29.21
DOS at the Fermi energy, states/eV/cell: 3.97
Formation energy from raw total energies, eV per atom: -0.8088
Electronic total energy, eV per atom: -5.073
M_tot, Bohr magnetons per cell: 4.00

a b c (Å): 4.080 4.080 14.035
angles (deg): 90.00 90.00 90.00
Space group I-4m2 (No. 119)
Inequivalent atoms, fractional coordinates:
Rb (0.000, 0.000, 0.000) [2 per cell]
V (0.000, 0.500, 0.750) [2 per cell]
Se (0.000, 0.000, 0.344) [4 per cell]

No. 13
## Rb4VSe4 (GGA-PBE)

Data for an optimized crystal structure of Rb4VSe4.

Calculated volume, Å³ per atom: 48.95
DOS at the Fermi energy, states/eV/cell: 12.00
Formation energy from raw total energies, eV per atom: -0.9685
Electronic total energy, eV per atom: -3.960
M_tot, Bohr magnetons per cell: 2.00

a b c (Å): 8.067 8.067 13.541
angles (deg): 90.00 90.00 90.00
Space group I-42m (No. 121)
Inequivalent atoms, fractional coordinates:
Rb (0.000, 0.000, 0.200) [4 per cell]
Rb (0.000, 0.500, 0.000) [4 per cell]
V (0.000, 0.000, 0.500) [2 per cell]
Se (0.170, 0.170, 0.398) [8 per cell]

No. 14
## Rb3VSe (GGA-PBE)

Data for an optimized crystal structure of Rb3VSe.

Calculated volume, Å³ per atom: 58.47
DOS at the Fermi energy, states/eV/cell: 13.19
Formation energy from raw total energies, eV per atom: 0.2492
Electronic total energy, eV per atom: -2.852
M_tot, Bohr magnetons per cell: 4.00

a b c (Å): 6.637 6.637 6.637
angles (deg): 90.00 90.00 90.00
Space group Pm-3m (No. 221)
Inequivalent atoms, fractional coordinates:
Rb (0.000, 0.000, 0.500) [3 per cell]
V (0.500, 0.500, 0.500) [1 per cell]
Se (0.000, 0.000, 0.000) [1 per cell]

No. 15
## RbV6Se8 (GGA-PBE)

Data for an optimized crystal structure of RbV6Se8.

Calculated volume, Å³ per atom: 21.81
DOS at the Fermi energy, states/eV/cell: 17.01
Formation energy from raw total energies, eV per atom: -0.7358
Electronic total energy, eV per atom: -6.306
M_tot, Bohr magnetons per cell: 25.04

a b c (Å): 9.7215 9.7215 11.9922
angles (deg): 90.00 90.00 120.00
Space group R-3 (No. 148, hexagonal axes)
Inequivalent atoms, fractional coordinates:
Rb (0.0000, 0.0000, 0.0000) [3 per cell]
V (0.0124, 0.8353, 0.4054) [18 per cell]
Se (0.0000, 0.0000, 0.2576) [6 per cell]
Se (0.0198, 0.7083, 0.5875) [18 per cell]

No. 16
## RbVSe3 (GGA-PBE)

Data for an optimized crystal structure of RbVSe3.

Calculated volume, Å³ per atom: 31.57
DOS at the Fermi energy, states/eV/cell: 1.53
Formation energy from raw total energies, eV per atom: -0.8170
Electronic total energy, eV per atom: -4.925
M_tot, Bohr magnetons per cell: 0.00

a b c (Å): 6.902 6.191 7.833
angles (deg): 90.00 109.37 90.00
Space group P2_1/m (No. 11)
Inequivalent atoms, fractional coordinates:
Rb (0.212, 0.250, 0.325) [2 per cell]
V (0.422, 0.750, 0.029) [2 per cell]
Se (0.143, 0.750, 0.114) [2 per cell]
Se (0.339, 0.503, 0.768) [4 per cell]

No. 17
## Rb2VSe (GGA-PBE)

Data for an optimized crystal structure of Rb2VSe.

Calculated volume, Å³ per atom: 54.09
DOS at the Fermi energy, states/eV/cell: 11.52
Formation energy from raw total energies, eV per atom: -0.0026
Electronic total energy, eV per atom: -3.637
M_tot, Bohr magnetons per cell: 15.31

a b c (Å): 13.425 13.425 4.802
angles (deg): 90.00 90.00 90.00
Space group I-42d (No. 122)
Inequivalent atoms, fractional coordinates:
Rb (0.064, 0.250, 0.125) [8 per cell]
V (0.000, 0.000, 0.000) [4 per cell]
Se (0.000, 0.000, 0.500) [4 per cell]

No. 18
## RbVSe3 (GGA-PBE)

Data for an optimized crystal structure of RbVSe3.

Calculated volume, Å³ per atom: 40.41
DOS at the Fermi energy, states/eV/cell: 7.62
Formation energy from raw total energies, eV per atom: 1.3516
Electronic total energy, eV per atom: -2.756
M_tot, Bohr magnetons per cell: 0.05

a b c (Å): 5.868 5.868 5.868
angles (deg): 90.00 90.00 90.00
Space group Pm-3m (No. 221)
Inequivalent atoms, fractional coordinates:
Rb (0.000, 0.000, 0.000) [1 per cell]
V (0.500, 0.500, 0.500) [1 per cell]
Se (0.000, 0.000, 0.500) [3 per cell]

No. 19
## RbV5Se8 (GGA-PBE)

Data for an optimized crystal structure of RbV5Se8.

Calculated volume, Å³ per atom: 21.64
DOS at the Fermi energy, states/eV/cell: 16.22
Formation energy from raw total energies, eV per atom: -0.7823
Electronic total energy, eV per atom: -6.099
M_tot, Bohr magnetons per cell: 19.60

a b c (Å): 18.735 3.694 9.029
angles (deg): 90.00 104.16 90.00
Space group C2/m (No. 12)
Inequivalent atoms, fractional coordinates:
Rb (0.000, 0.000, 0.000) [2 per cell]
V (0.000, 0.500, 0.500) [2 per cell]
V (0.152, 0.000, 0.493) [4 per cell]
V (0.212, 0.000, 0.847) [4 per cell]
Se (0.072, 0.000, 0.672) [4 per cell]
Se (0.088, 0.500, 0.325) [4 per cell]
Se (0.163, 0.500, 0.988) [4 per cell]
Se (0.240, 0.500, 0.657) [4 per cell]

No. 20
## RbVSe3 (GGA-PBE)

Data for an optimized crystal structure of RbVSe3.

Calculated volume, Å³ per atom: 24.89
DOS at the Fermi energy, states/eV/cell: 5.24
Formation energy from raw total energies, eV per atom: -0.5790
Electronic total energy, eV per atom: -4.687
M_tot, Bohr magnetons per cell: 0.40

a b c (Å): 4.993 4.993 4.993
angles (deg): 90.00 90.00 90.00
Space group Pm-3m (No. 221)
Inequivalent atoms, fractional coordinates:
Rb (0.000, 0.000, 0.000) [1 per cell]
V (0.500, 0.500, 0.500) [1 per cell]
Se (0.000, 0.500, 0.500) [3 per cell]